Computed, not measured: a relaxed Mg2ReCl crystal at the GGA-PBEsol level of DFT.

a b c (Å): 3.495 4.463 9.977
angles (deg): 90.00 90.00 90.00
Fractional positions:
Mg: 0.000 0.000 0.000
Mg: 0.000 0.500 0.264
Mg: 0.500 0.000 0.264
Mg: 0.500 0.500 0.000
Re: 0.000 0.000 0.475
Re: 0.500 0.500 0.475
Cl: 0.000 0.500 0.842
Cl: 0.500 0.000 0.842

VASP energy: -4.38 eV/atom
Magnetization: 0.00 μB per cell
Density of states at the Fermi level: 0.5130 states/eV per atom
Energy above the lowest structure with this stoichiometry: 117 meV per atom
Symmetry: Cmm2 (35)
Formation energy without anion corrections: 0.32 eV/atom